First-principles (PBE-GGA) data for crystalline LiCaYGe at its relaxed geometry, as listed in Alexandria.

The structure in CIF format:
```
data_LiCaYGe
_cell_length_a 7.2108
_cell_length_b 7.2108
_cell_length_c 7.2108
_cell_angle_alpha 90.00
_cell_angle_beta 90.00
_cell_angle_gamma 90.00
_symmetry_space_group_name_H-M 'F -4 3 m'
_symmetry_Int_Tables_number 216
_symmetry_space_group_name_Hall 'F -4 2 3'
loop_
_atom_site_label
_atom_site_fract_x
_atom_site_fract_y
_atom_site_fract_z
_atom_site_occupancy
Li1 0.0000 0.0000 0.0000 1
Ca1 0.2500 0.2500 0.2500 1
Y1 0.2500 0.2500 0.7500 1
Ge1 0.0000 0.0000 0.5000 1
```

**DFT formation energy**: -37 kJ/mol of atoms